An optimized crystal structure of VTcW14, computed with PBE.

Results
The value obtained for the total energy is -12.57 eV per atom. Its space group is No. 65. The calculation puts the energy relative to the elements at -0.02 eV/atom.

a = 5.489 Å, b = 5.489 Å, c = 8.964 Å
α = 90.00°, β = 90.00°, γ = 109.20°
Positions (direct):
V 0.000 0.000 0.000
Tc 0.500 0.500 0.000
W 0.000 0.000 0.500
W 0.000 0.500 0.000
W 0.000 0.500 0.500
W 0.248 0.248 0.248
W 0.248 0.248 0.752
W 0.250 0.750 0.248
W 0.250 0.750 0.752
W 0.500 0.000 0.000
W 0.500 0.000 0.500
W 0.500 0.500 0.500
W 0.750 0.250 0.248
W 0.750 0.250 0.752
W 0.752 0.752 0.248
W 0.752 0.752 0.752

***

An optimized crystal structure of V2TcW, computed with PBE.

Results
The value obtained for the total energy is -9.80 eV per atom. Its space group is No. 122. The calculation puts the energy relative to the elements at 0.59 eV/atom.

a = 5.506 Å, b = 5.506 Å, c = 5.506 Å
α = 103.25°, β = 103.25°, γ = 122.79°
Positions (direct):
V 0.113 0.625 0.988
V 0.375 0.363 0.488
V 0.637 0.125 0.012
V 0.875 0.887 0.512
Tc 0.000 0.000 0.000
Tc 0.750 0.250 0.500
W 0.250 0.750 0.500
W 0.500 0.500 0.000

***

An optimized crystal structure of VTcW2, computed with PBE.

Results
The value obtained for the total energy is -11.44 eV per atom. Its space group is No. 225. The offset from the most stable computed form comes out at 0.9 kJ per mole of atoms. The calculation puts the energy relative to the elements at -0.09 eV/atom.

a = 4.401 Å, b = 4.401 Å, c = 4.401 Å
α = 60.00°, β = 60.00°, γ = 60.00°
Positions (direct):
V 0.000 0.000 0.000
Tc 0.500 0.500 0.500
W 0.250 0.250 0.250
W 0.750 0.750 0.750

***

An optimized crystal structure of V7Tc2W3, computed with PBE.

Results
The value obtained for the total energy is -10.00 eV per atom. Its space group is No. 65. The calculation puts the energy relative to the elements at 0.28 eV/atom.

a = 10.447 Å, b = 10.447 Å, c = 4.284 Å
α = 90.00°, β = 90.00°, γ = 156.53°
Positions (direct):
V 0.000 0.000 0.000
V 0.076 0.924 0.500
V 0.283 0.717 0.000
V 0.426 0.574 0.000
V 0.574 0.426 0.000
V 0.717 0.283 0.000
V 0.924 0.076 0.500
Tc 0.148 0.852 0.000
Tc 0.852 0.148 0.000
W 0.350 0.650 0.500
W 0.500 0.500 0.500
W 0.650 0.350 0.500

***

An optimized crystal structure of V2TcW, computed with PBE.

Results
The value obtained for the total energy is -10.63 eV per atom. Its space group is No. 123. The calculation puts the energy relative to the elements at -0.24 eV/atom.

a = 4.325 Å, b = 4.325 Å, c = 3.051 Å
α = 90.00°, β = 90.00°, γ = 90.00°
Positions (direct):
V 0.000 0.500 0.000
V 0.500 0.000 0.000
Tc 0.000 0.000 0.500
W 0.500 0.500 0.500

***

An optimized crystal structure of V3TcW, computed with PBE.

Results
The value obtained for the total energy is -8.74 eV per atom. Its space group is No. 221. The offset from the most stable computed form comes out at 127.6 kJ per mole of atoms. The calculation puts the energy relative to the elements at 1.39 eV/atom.

a = 4.436 Å, b = 4.436 Å, c = 4.436 Å
α = 90.00°, β = 90.00°, γ = 90.00°
Positions (direct):
V 0.000 0.000 0.500
V 0.000 0.500 0.000
V 0.500 0.000 0.000
Tc 0.000 0.000 0.000
W 0.500 0.500 0.500

***

An optimized crystal structure of VTcW2, computed with PBE.

Results
The value obtained for the total energy is -11.44 eV per atom. Its space group is No. 123. The offset from the most stable computed form comes out at 0.5 kJ per mole of atoms. The calculation puts the energy relative to the elements at -0.09 eV/atom.

a = 4.395 Å, b = 4.395 Å, c = 3.118 Å
α = 90.00°, β = 90.00°, γ = 90.00°
Positions (direct):
V 0.000 0.000 0.000
Tc 0.500 0.500 0.000
W 0.000 0.500 0.500
W 0.500 0.000 0.500

***

An optimized crystal structure of V4Tc3W2, computed with PBE.

Results
The value obtained for the total energy is -10.59 eV per atom. Its space group is No. 164. The calculation puts the energy relative to the elements at -0.21 eV/atom.

a = 4.323 Å, b = 4.323 Å, c = 7.964 Å
α = 90.00°, β = 90.00°, γ = 120.00°
Positions (direct):
V 0.000 0.000 0.168
V 0.000 0.000 0.832
V 0.333 0.667 0.612
V 0.667 0.333 0.388
Tc 0.000 0.000 0.500
Tc 0.333 0.667 0.942
Tc 0.667 0.333 0.058
W 0.333 0.667 0.277
W 0.667 0.333 0.723

***

An optimized crystal structure of V6TcW5, computed with PBE.

Results
The value obtained for the total energy is -10.96 eV per atom. Its space group is No. 71. The calculation puts the energy relative to the elements at -0.14 eV/atom.

a = 7.540 Å, b = 7.540 Å, c = 7.540 Å
α = 146.58°, β = 131.85°, γ = 59.87°
Positions (direct):
V 0.083 0.334 0.749
V 0.248 0.000 0.248
V 0.414 0.666 0.749
V 0.586 0.334 0.251
V 0.752 0.000 0.752
V 0.917 0.666 0.251
Tc 0.000 0.500 0.500
W 0.167 0.167 0.000
W 0.334 0.834 0.500
W 0.500 0.500 0.000
W 0.666 0.166 0.500
W 0.833 0.833 0.000

***

An optimized crystal structure of V6TcW3, computed with PBE.

Results
The value obtained for the total energy is -10.53 eV per atom. Its space group is No. 11. The calculation puts the energy relative to the elements at -0.14 eV/atom.

a = 7.503 Å, b = 4.304 Å, c = 9.192 Å
α = 90.00°, β = 105.78°, γ = 90.00°
Positions (direct):
V 0.048 0.250 0.397
V 0.146 0.750 0.197
V 0.150 0.250 0.699
V 0.245 0.250 0.998
V 0.346 0.750 0.801
V 0.450 0.250 0.601
V 0.550 0.750 0.399
V 0.654 0.250 0.199
V 0.755 0.750 0.002
V 0.850 0.750 0.301
V 0.854 0.250 0.803
V 0.952 0.750 0.603
Tc 0.051 0.750 0.899
Tc 0.949 0.250 0.101
W 0.246 0.750 0.500
W 0.350 0.250 0.300
W 0.453 0.750 0.101
W 0.547 0.250 0.899
W 0.650 0.750 0.700
W 0.754 0.250 0.500

***

An optimized crystal structure of V2Tc4W, computed with PBE.

Results
The value obtained for the total energy is -9.01 eV per atom. Its space group is No. 139. The calculation puts the energy relative to the elements at 1.37 eV/atom.

a = 6.951 Å, b = 6.951 Å, c = 6.951 Å
α = 141.14°, β = 141.14°, γ = 56.13°
Positions (direct):
V 0.126 0.126 0.000
V 0.874 0.874 0.000
Tc 0.000 0.500 0.500
Tc 0.295 0.295 0.000
Tc 0.500 0.000 0.500
Tc 0.705 0.705 0.000
W 0.500 0.500 0.000

***

An optimized crystal structure of V3TcW, computed with PBE.

Results
The value obtained for the total energy is -10.06 eV per atom. Its space group is No. 12. The offset from the most stable computed form comes out at 0.0 kJ per mole of atoms. The calculation puts the energy relative to the elements at 0.07 eV/atom.

a = 7.808 Å, b = 7.808 Å, c = 6.709 Å
α = 106.22°, β = 106.22°, γ = 22.11°
Positions (direct):
V 0.045 0.045 0.234
V 0.226 0.226 0.132
V 0.315 0.315 0.598
V 0.685 0.685 0.402
V 0.774 0.774 0.868
V 0.955 0.955 0.766
Tc 0.410 0.410 0.046
Tc 0.590 0.590 0.954
W 0.125 0.125 0.656
W 0.875 0.875 0.344